1.
K2AgICl4, relaxed, DFT PBE-GGA; raw formation energy = -1106 meV/atom
1.0
9.156 -1.601 -0.121
-1.607 9.155 -0.121
-3.819 -3.822 7.550
Ag Cl K I
2 8 4 2
Direct
0.000 0.500 0.500
0.000 0.500 0.000
0.280 0.702 0.055
0.224 0.141 0.917
0.720 0.298 0.945
0.202 0.780 0.555
0.798 0.220 0.445
0.776 0.859 0.083
0.641 0.724 0.417
0.359 0.276 0.583
0.500 0.000 0.500
0.500 0.000 0.000
0.500 0.500 0.000
0.000 0.000 0.500
0.500 0.500 0.500
0.000 0.000 0.000

=====

2.
TaH2S, relaxed, DFT PBE-GGA; relative energy among the computed polymorphs = 342 meV per atom
1.0
3.545 0.000 0.000
0.000 3.545 0.000
1.773 1.773 6.880
H Ta S
4 2 2
Direct
0.375 0.125 0.750
0.875 0.125 0.250
0.875 0.625 0.250
0.875 0.125 0.750
0.750 0.250 0.500
0.000 0.000 0.000
0.500 0.500 0.000
0.250 0.750 0.500

=====

3.
FeCo2Mo, relaxed, DFT PBE-GGA; E_form = 0.17 eV/atom; relative energy among the computed polymorphs = 154 meV per atom
1.0
8.531 -0.009 -0.005
8.132 2.577 -0.005
8.132 1.253 2.252
Co Mo Fe
2 1 1
Direct
0.505 0.505 0.505
0.995 0.995 0.995
0.750 0.750 0.750
0.250 0.250 0.250

=====

4.
AsHF5, relaxed, DFT PBE-GGA; raw total energy = -59.53 eV for the cell shown
1.0
6.987 1.464 -2.105
-1.351 7.916 -5.237
-0.857 -5.525 7.787
F As H
10 2 2
Direct
0.763 0.354 0.877
0.159 0.148 0.854
0.499 0.798 0.683
0.507 0.216 0.329
0.421 0.432 0.738
0.227 0.643 0.120
0.017 0.316 0.249
0.839 0.859 0.156
0.573 0.569 0.257
0.984 0.721 0.777
0.637 0.368 0.681
0.360 0.637 0.323
0.004 0.487 0.471
0.998 0.970 0.975

=====

5.
La2PmPrDy4, relaxed, DFT PBE-GGA; E_form = 0.02 eV/atom
1.0
-1.313 0.784 3.309
-2.673 -5.694 0.289
8.837 -6.239 4.987
Pm Dy La Pr
1 4 2 1
Direct
0.000 0.500 0.500
0.000 0.750 0.750
0.000 0.250 0.250
0.500 0.251 0.749
0.500 0.749 0.251
0.000 0.000 0.000
0.500 0.000 0.500
0.500 0.500 0.000

=====

no.,N(E_F) (states/eV/cell)
1,0.0
2,2.6
3,2.7
4,1.8
5,10.8